1.
Below is crystalline PrHoPt2 at its relaxed geometry, with properties calculated at the PBE-GGA level.

Cell and atoms, written as extended XYZ:
```
4
Lattice="2.042 1.179 7.027 -2.042 1.179 7.027 0.000 -2.358 7.027" Properties=species:S:1:pos:R:3 pbc="T T T"
Pr 0.000 0.000 0.000
Ho 0.000 0.000 17.455
Pt 0.000 0.000 5.118
Pt 0.000 0.000 8.818
```

Computed properties:
SG = No. 160
Uncorrected energy = -6.38 eV per atom
Polymorph energy (0 for the lowest one) = 0.170 eV/atom
Volume = 101 Å³ per cell


2.
Below is crystalline PrHo4Pt4 at its relaxed geometry, with properties calculated at the PBE-GGA level.

Cell and atoms, written as extended XYZ:
```
18
Lattice="9.132 0.000 0.000 0.000 9.132 0.000 0.000 0.000 5.705" Properties=species:S:1:pos:R:3 pbc="T T T"
Pr 2.283 2.283 1.426
Pr 6.849 6.849 4.278
Ho 0.768 5.924 0.961
Ho 1.358 8.364 3.813
Ho 3.208 5.334 3.813
Ho 3.798 7.774 0.961
Ho 5.334 1.358 4.743
Ho 5.924 3.798 1.891
Ho 7.774 0.768 1.891
Ho 8.364 3.208 4.743
Pt 0.396 5.669 3.819
Pt 1.102 8.737 0.967
Pt 3.464 4.962 0.967
Pt 4.171 8.030 3.819
Pt 4.962 1.102 1.885
Pt 5.669 4.171 4.738
Pt 8.030 0.396 4.738
Pt 8.737 3.464 1.885
```

Computed properties:
SG = No. 86
Uncorrected energy = -6.30 eV per atom
Volume = 476 Å³ per cell


Q: The highest volume belongs to which entry?
A: PrHo4Pt4